This record from the Alexandria database describes a relaxed ZrIrCl crystal. The functional is PBE-GGA.

abc: 4.4926 4.4926 4.4926
angles: 60.00 60.00 60.00
Positions (direct):
Zr (0.7500, 0.7500, 0.7500)
Ir (0.5000, 0.5000, 0.5000)
Cl (0.0000, 0.0000, 0.0000)

Calculated values
The value obtained for the calculated density is 8.3 g/cm³. For the energy above the most stable polymorph in this dataset, the calculation gives 2.472 eV/f.u. The raw formation energy comes out at -0.7 eV/f.u.


This record from the Alexandria database describes a relaxed Sr2CeHfO6 crystal. The functional is PBE-GGA.

abc: 6.0607 6.0607 6.0607
angles: 60.00 60.00 60.00
Positions (direct):
O (0.2585, 0.7415, 0.2585)
O (0.7415, 0.2585, 0.7415)
O (0.7415, 0.2585, 0.2585)
O (0.2585, 0.2585, 0.7415)
O (0.2585, 0.7415, 0.7415)
O (0.7415, 0.7415, 0.2585)
Sr (0.2500, 0.2500, 0.2500)
Sr (0.7500, 0.7500, 0.7500)
Hf (0.5000, 0.5000, 0.5000)
Ce (0.0000, 0.0000, 0.0000)

Calculated values
The value obtained for the calculated density is 6.2 g/cm³. For the energy above the most stable polymorph in this dataset, the calculation gives 0.943 eV/f.u. The raw formation energy comes out at -31.9 eV/f.u.


This record from the Alexandria database describes a relaxed AcTbPrTh crystal. The functional is PBE-GGA.

abc: 3.7010 3.7010 10.5675
angles: 90.00 90.00 90.00
Positions (direct):
Tb (0.5000, 0.5000, 0.3427)
Ac (0.0000, 0.0000, 0.0770)
Th (0.0000, 0.0000, 0.5666)
Pr (0.5000, 0.5000, 0.7984)

Calculated values
The value obtained for the calculated density is 8.7 g/cm³. For the energy above the most stable polymorph in this dataset, the calculation gives 0.000 eV/f.u. The formation energy is 0.05 eV per atom.


This record from the Alexandria database describes a relaxed TeMoIr crystal. The functional is PBE-GGA.

abc: 3.9634 3.9604 8.9698
angles: 90.00 90.00 120.03
Positions (direct):
Te (0.6113, 0.2225, 0.6812)
Te (0.6113, 0.2225, 0.3188)
Ir (0.2776, 0.5552, 0.8529)
Ir (0.2776, 0.5552, 0.1471)
Mo (0.2779, 0.5557, 0.5000)
Mo (0.6110, 0.2221, 0.0000)

Calculated values
The value obtained for the calculated density is 11.3 g/cm³. For the energy above the most stable polymorph in this dataset, the calculation gives 0.090 eV/f.u. The raw formation energy comes out at 1.0 eV/f.u.


This record from the Alexandria database describes a relaxed BaHo3B4O12 crystal. The functional is PBE-GGA.

abc: 6.6328 6.6328 6.6328
angles: 101.73 101.73 101.73
Positions (direct):
B (0.5000, 0.5000, 0.5000)
B (0.0464, 0.5000, 0.9536)
B (0.5000, 0.9536, 0.0464)
B (0.9536, 0.0464, 0.5000)
O (0.9108, 0.5000, 0.0892)
O (0.0216, 0.6077, 0.7977)
O (0.6352, 0.5000, 0.3648)
O (0.9784, 0.2023, 0.3923)
O (0.3648, 0.6352, 0.5000)
O (0.7977, 0.0216, 0.6077)
O (0.0892, 0.9108, 0.5000)
O (0.6077, 0.7977, 0.0216)
O (0.2023, 0.3923, 0.9784)
O (0.5000, 0.3648, 0.6352)
O (0.5000, 0.0892, 0.9108)
O (0.3923, 0.9784, 0.2023)
Ba (0.0000, 0.0000, 0.0000)
Ho (0.4543, 0.0000, 0.5457)
Ho (0.0000, 0.5457, 0.4543)
Ho (0.5457, 0.4543, 0.0000)

Calculated values
The value obtained for the calculated density is 5.3 g/cm³. The raw formation energy comes out at -58.6 eV/f.u.


This record from the Alexandria database describes a relaxed MnSiBr3 crystal. The functional is PBE-GGA.

abc: 5.3100 5.3100 5.3100
angles: 90.00 90.00 90.00
Positions (direct):
Br (0.0000, 0.5000, 0.0000)
Br (0.0000, 0.0000, 0.5000)
Br (0.5000, 0.0000, 0.0000)
Si (0.0000, 0.0000, 0.0000)
Mn (0.5000, 0.5000, 0.5000)

Calculated values
The value obtained for the calculated density is 3.6 g/cm³. For the energy above the most stable polymorph in this dataset, the calculation gives 0.150 eV/f.u. The raw formation energy comes out at 0.8 eV/f.u.